Computed, not measured: a relaxed Sr2Li5Cd4 crystal at the PBE level of DFT.

## Properties
E above lowest polymorph = 0.051 eV/atom
SG = C2/m (12)
Formation energy = -0.152 eV/atom
DOS at the Fermi energy = 6.5 states/eV per cell

a = 7.5380 Å, b = 7.5380 Å, c = 9.1526 Å
α = 123.04°, β = 123.04°, γ = 45.34°
Fractional coordinates of all 11 atoms:
Sr 0.2090 0.2090 0.2654
Sr 0.7910 0.7910 0.7346
Li 0.2137 0.7043 0.2602
Li 0.2957 0.7863 0.7398
Li 0.5000 0.5000 0.0000
Li 0.7043 0.2137 0.2602
Li 0.7863 0.2957 0.7398
Cd 0.1303 0.1303 0.5606
Cd 0.2748 0.2748 0.9531
Cd 0.7252 0.7252 0.0469
Cd 0.8697 0.8697 0.4394